# Hg3AsO4, relaxed, DFT PBE
data_Hg3AsO4
_symmetry_space_group_name_H-M 'P 1 21/c 1'
_symmetry_Int_Tables_number 14
_cell_length_a 9.330
_cell_length_b 5.294
_cell_length_c 14.697
_cell_angle_alpha 90.00
_cell_angle_beta 123.09
_cell_angle_gamma 90.00
loop_
_symmetry_equiv_pos_as_xyz
'x,y,z'
'-x,-y,-z'
'-x,y+1/2,-z+1/2'
'x,-y+1/2,z+1/2'
loop_
_atom_site_label
_atom_site_fract_x
_atom_site_fract_y
_atom_site_fract_z
Hg1 0.037 0.133 0.085
Hg2 0.271 0.136 0.456
Hg3 0.454 0.654 0.126
As1 0.229 0.615 0.273
O1 0.047 0.513 0.153
O2 0.223 0.522 0.384
O3 0.237 0.560 0.771
O4 0.407 0.006 0.777
# - relative energy among the computed polymorphs (meV per atom) = 0
# - calculated total energy (eV/cell) = -124.07
# - formation energy without anion corrections (eV per formula unit) = -5.6
# - M_tot (μB/cell) = 0.00